Record 1
{"formula": "NaEu2Pd", "functional": "PBE", "state": "relaxed", "ef_ev_per_atom": -0.1824, "m_tot_mub_per_fu": 14.58, "crystal_system": "tetragonal", "sg": "P4/mmm", "total_energy_ev_per_atom": -6.948, "lattice_angstrom": [[4.1357, 0.0000, 0.0000], [0.0000, 5.2493, 0.0000], [0.0000, 0.0000, 5.2493]], "species": ["Pd", "Na", "Eu", "Eu"], "fractional_positions": [[0.5000, 0.0000, 0.0000], [0.5000, 0.5000, 0.5000], [0.0000, 0.0000, 0.5000], [0.0000, 0.5000, 0.0000]]}

***

Record 2
{"formula": "NaEu2Pd", "functional": "PBE", "state": "relaxed", "ef_ev_per_atom": -0.3004, "m_tot_mub_per_fu": 14.38, "crystal_system": "trigonal", "sg": "R-3m", "total_energy_ev_per_atom": -7.066, "lattice_angstrom": [[-3.2821, 2.3931, 0.9692], [-3.8530, -1.6083, -0.0803], [-1.4975, -2.3153, 9.6418]], "species": ["Na", "Eu", "Eu", "Pd"], "fractional_positions": [[0.5000, 0.5000, 0.5000], [0.2756, 0.2756, 0.1733], [0.7244, 0.7244, 0.8267], [0.0000, 0.0000, 0.0000]]}

***

Record 3
{"formula": "NaEu3Pd", "functional": "PBE", "state": "relaxed", "ef_ev_per_atom": -0.2364, "m_tot_mub_per_fu": 21.56, "crystal_system": "cubic", "sg": "Pm-3m", "total_energy_ev_per_atom": -7.703, "lattice_angstrom": [[5.8536, 0.0000, 0.0000], [0.0000, 5.8536, 0.0000], [0.0000, 0.0000, 5.8536]], "species": ["Pd", "Eu", "Eu", "Eu", "Na"], "fractional_positions": [[0.0000, 0.0000, 0.0000], [0.0000, 0.5000, 0.0000], [0.5000, 0.0000, 0.0000], [0.0000, 0.0000, 0.5000], [0.5000, 0.5000, 0.5000]]}

***

Record 4
{"formula": "NaEu2Pd", "functional": "PBE", "state": "relaxed", "ef_ev_per_atom": -0.3218, "m_tot_mub_per_fu": 14.70, "crystal_system": "tetragonal", "sg": "P4/mmm", "total_energy_ev_per_atom": -7.087, "lattice_angstrom": [[3.6839, 0.0000, 0.0000], [0.0000, 3.6839, 0.0000], [0.0000, 0.0000, 9.4459]], "species": ["Eu", "Pd", "Na", "Eu"], "fractional_positions": [[0.0000, 0.0000, 0.1846], [0.5000, 0.5000, 0.0000], [0.5000, 0.5000, 0.5000], [0.0000, 0.0000, 0.8154]]}

***

Record 5
{"formula": "NaEuPd2", "functional": "PBE", "state": "relaxed", "ef_ev_per_atom": -0.3422, "m_tot_mub_per_fu": 6.84, "crystal_system": "tetragonal", "sg": "P4/mmm", "total_energy_ev_per_atom": -5.837, "lattice_angstrom": [[3.9688, 0.0000, 0.0000], [0.0000, 4.6019, 0.0000], [0.0000, 0.0000, 4.6019]], "species": ["Pd", "Na", "Pd", "Eu"], "fractional_positions": [[0.0000, 0.0000, 0.5000], [0.5000, 0.0000, 0.0000], [0.0000, 0.5000, 0.0000], [0.5000, 0.5000, 0.5000]]}

***

Record 6
{"formula": "Na2EuPd", "functional": "PBE", "state": "relaxed", "ef_ev_per_atom": 0.3412, "m_tot_mub_per_fu": 7.89, "crystal_system": "trigonal", "sg": "R-3m", "total_energy_ev_per_atom": -4.185, "lattice_angstrom": [[-2.9591, -0.0387, -1.4399], [-2.0308, -2.5447, 0.4807], [-6.4433, 4.7806, 9.3521]], "species": ["Eu", "Na", "Na", "Pd"], "fractional_positions": [[0.5000, 0.5000, 0.5000], [0.9258, 0.9258, 0.2226], [0.0742, 0.0742, 0.7774], [0.0000, 0.0000, 0.0000]]}

***

Record 7
{"formula": "NaEuSnPd", "functional": "PBE", "state": "relaxed", "ef_ev_per_atom": -0.4467, "m_tot_mub_per_fu": 6.86, "crystal_system": "cubic", "sg": "F-43m", "total_energy_ev_per_atom": -5.644, "lattice_angstrom": [[-4.5360, 2.0402, 0.8673], [-3.4914, -2.6019, 2.5553], [-1.2809, 1.4118, 4.6750]], "species": ["Eu", "Pd", "Na", "Sn"], "fractional_positions": [[0.7500, 0.7500, 0.7500], [0.5000, 0.5000, 0.5000], [0.0000, 0.0000, 0.0000], [0.2500, 0.2500, 0.2500]]}

***

Record 8
{"formula": "NaSrEuPd", "functional": "PBE", "state": "relaxed", "ef_ev_per_atom": -0.1957, "m_tot_mub_per_fu": 7.52, "crystal_system": "cubic", "sg": "F-43m", "total_energy_ev_per_atom": -4.813, "lattice_angstrom": [[5.5315, 0.0000, 0.0000], [2.7657, 4.7904, 0.0000], [2.7657, 1.5968, 4.5164]], "species": ["Eu", "Pd", "Sr", "Na"], "fractional_positions": [[0.5000, 0.5000, 0.5000], [0.7500, 0.7500, 0.7500], [0.0000, 0.0000, 0.0000], [0.2500, 0.2500, 0.2500]]}